DFT (GGA+U) results for a geometry-optimized AcZnCr2O6 structure.

Computed properties:
Magnetic moment = 5.000 μB per formula unit
Symmetry = No. 1
Energy = -7.039 eV/atom

POSCAR file:
```
AcZnCr2O6
1.0
-2.602 0.377 -4.706
-4.052 -3.453 -1.195
-5.039 1.992 -0.083
Ac O Cr Zn
1 6 2 1
direct
0.774 0.766 0.702
0.851 0.683 0.175
0.242 0.844 0.235
0.620 0.276 0.206
0.242 0.295 0.777
0.338 0.761 0.694
0.837 0.236 0.623
0.517 0.512 0.456
0.011 0.016 0.956
0.231 0.273 0.192
```